An optimized crystal structure of NaTl2ZnNi. Source: Alexandria, functional PBE.

energy: -12.86 eV/cell
ΔE_f: 0.25 eV/f.u.

Cell and atoms, written as CIF:
```
data_NaTl2ZnNi
_chemical_formula_sum 'Na1 Tl2 Zn1 Ni1'
_space_group_name_H-M_alt 'P 4/m m m'
_space_group_IT_number 123
_space_group_name_Hall '-P 4 2'
_cell_length_a 5.088
_cell_length_b 5.088
_cell_length_c 4.773
_cell_angle_alpha 90.00
_cell_angle_beta 90.00
_cell_angle_gamma 90.00
loop_
_atom_site_label
_atom_site_fract_x
_atom_site_fract_y
_atom_site_fract_z
_atom_site_occupancy
Na1 0.000 0.000 0.000 1
Tl1 0.000 0.500 0.500 1
Zn1 0.500 0.500 0.000 1
Ni1 0.500 0.500 0.500 1
```